Entry 1:
VASP calculation (PBE) on a relaxed MnZn2Pd crystal.

For the final energy, the calculation gives -16.497 eV/f.u. The energy of formation is 0.1033 eV/atom.

It has space group I-42d (No. 122), with a = 6.975 Å, b = 6.975 Å, c = 5.277 Å, α = 90.00°, β = 90.00° and γ = 90.00°. The inequivalent atoms are Mn at (0.000, 0.000, 0.000), Zn at (0.245, 0.250, 0.625) and Pd at (0.000, 0.000, 0.500).



Entry 2:
VASP calculation (PBE) on a relaxed MnZnPd5 crystal.

For the final energy, the calculation gives -37.674 eV/f.u. The energy of formation is -0.1809 eV/atom.

It has space group P4/mmm (No. 123), with a = 3.980 Å, b = 3.980 Å, c = 7.062 Å, α = 90.00°, β = 90.00° and γ = 90.00°. The inequivalent atoms are Mn at (0.000, 0.000, 0.000), Zn at (0.500, 0.500, 0.500), Pd at (0.000, 0.500, 0.272) and Pd at (0.500, 0.500, 0.000).



Entry 3:
VASP calculation (PBE) on a relaxed MnZnPd3 crystal.

For the final energy, the calculation gives -21.693 eV/f.u. The energy of formation is 0.8659 eV/atom.

It has space group Pm-3m (No. 221), with a = 4.550 Å, b = 4.550 Å, c = 4.550 Å, α = 90.00°, β = 90.00° and γ = 90.00°. The inequivalent atoms are Mn at (0.000, 0.000, 0.000), Zn at (0.500, 0.500, 0.500) and Pd at (0.000, 0.000, 0.500).



Entry 4:
VASP calculation (PBE) on a relaxed Mn6ZnPd12 crystal.

For the final energy, the calculation gives -115.992 eV/f.u. The energy of formation is 0.1376 eV/atom.

It has space group R-3 (No. 148, hexagonal axes), with a = 10.0038 Å, b = 10.0038 Å, c = 9.5271 Å, α = 90.00°, β = 90.00° and γ = 120.00°. The inequivalent atoms are Mn at (0.0121, 0.2152, 0.0071), Zn at (0.0000, 0.0000, 0.5000), Pd at (0.0340, 0.4883, 0.1319) and Pd at (0.0837, 0.8952, 0.7498).



Entry 5:
VASP calculation (PBE) on a relaxed Mn2Zn2Pd5 crystal.

For the final energy, the calculation gives -47.311 eV/f.u. The energy of formation is -0.0511 eV/atom.

It has space group Ima2 (No. 46), with a = 15.044 Å, b = 5.374 Å, c = 7.496 Å, α = 90.00°, β = 90.00° and γ = 90.00°. The inequivalent atoms are Mn at (0.160, 0.045, 0.000), Zn at (0.000, 0.000, 0.494), Zn at (0.250, 0.526, 0.158), Pd at (0.073, 0.238, 0.747), Pd at (0.106, 0.740, 0.755) and Pd at (0.250, 0.084, 0.313).



Entry 6:
VASP calculation (PBE) on a relaxed Mn2Zn2Pd3 crystal.

For the final energy, the calculation gives -38.484 eV/f.u. The energy of formation is -0.2884 eV/atom.

It has space group P-1 (No. 2), with a = 4.016 Å, b = 4.602 Å, c = 6.353 Å, α = 100.75°, β = 90.02° and γ = 115.84°. The inequivalent atoms are Mn at (0.207, 0.412, 0.148), Zn at (0.366, 0.732, 0.576), Pd at (0.086, 0.174, 0.717) and Pd at (0.500, 0.000, 0.000).



Entry 7:
VASP calculation (PBE) on a relaxed MnZnPd4 crystal.

For the final energy, the calculation gives -33.128 eV/f.u. The energy of formation is -0.3188 eV/atom.

It has space group C2/m (No. 12), with a = 10.864 Å, b = 2.939 Å, c = 5.831 Å, α = 90.00°, β = 105.45° and γ = 90.00°. The inequivalent atoms are Mn at (0.000, 0.000, 0.000), Zn at (0.000, 0.000, 0.500), Pd at (0.156, 0.500, 0.330) and Pd at (0.158, 0.500, 0.827).



Entry 8:
VASP calculation (PBE) on a relaxed MnZn4Pd15 crystal.

For the final energy, the calculation gives -97.872 eV/f.u. The energy of formation is -0.2857 eV/atom.

It has space group P4/mmm (No. 123), with a = 3.913 Å, b = 3.913 Å, c = 19.599 Å, α = 90.00°, β = 90.00° and γ = 90.00°. The inequivalent atoms are Mn at (0.000, 0.000, 0.000), Zn at (0.000, 0.000, 0.201), Zn at (0.000, 0.000, 0.400), Pd at (0.000, 0.500, 0.100), Pd at (0.000, 0.500, 0.300), Pd at (0.000, 0.500, 0.500), Pd at (0.500, 0.500, 0.000), Pd at (0.500, 0.500, 0.200) and Pd at (0.500, 0.500, 0.400).